(1)
{"formula": "HOsPb2Br", "functional": "PBEsol", "state": "optimized geometry", "energy_ev_per_atom": -4.61, "n_ef_per_ev_atom": 0.531, "space_group": "P4/mmm (123)", "lattice": [[3.368, 0.000, 0.000], [0.000, 5.353, 0.000], [0.000, 0.000, 5.353]], "species": ["Os", "Br", "H", "Pb", "Pb"], "frac_coords": [[0.500, 0.000, 0.000], [0.500, 0.500, 0.500], [0.000, 0.000, 0.000], [0.000, 0.500, 0.000], [0.000, 0.000, 0.500]]}



(2)
{"formula": "P2HWBr", "functional": "PBEsol", "state": "optimized geometry", "energy_ev_per_atom": -3.53, "n_ef_per_ev_atom": 1.028, "space_group": "P4/mmm (123)", "lattice": [[-2.487, -0.602, 3.799], [-3.831, -1.464, -2.740], [1.575, -4.665, 0.291]], "species": ["W", "Br", "P", "P", "H"], "frac_coords": [[0.500, 0.000, 0.000], [0.000, 0.000, 0.000], [0.000, 0.000, 0.500], [0.000, 0.500, 0.000], [0.500, 0.500, 0.500]]}



(3)
{"formula": "H2PdPbBr", "functional": "PBEsol", "state": "optimized geometry", "energy_ev_per_atom": -3.21, "n_ef_per_ev_atom": 0.407, "space_group": "P4/mmm (123)", "lattice": [[-3.432, -1.504, 0.433], [0.281, -1.618, -3.395], [2.613, -5.190, 2.690]], "species": ["H", "Br", "H", "Pd", "Pb"], "frac_coords": [[0.500, 0.000, 0.000], [0.000, 0.000, 0.000], [0.000, 0.500, 0.000], [0.500, 0.500, 0.500], [0.000, 0.000, 0.500]]}



(4)
{"formula": "HPtBr2", "functional": "PBEsol", "state": "optimized geometry", "energy_ev_per_atom": -2.55, "n_ef_per_ev_atom": 1.530, "space_group": "Fm-3m (225)", "lattice": [[-0.008, -3.030, -3.428], [-2.389, -3.883, 0.384], [-3.782, -0.616, -2.500]], "species": ["H", "Pt", "Br", "Br"], "frac_coords": [[0.000, 0.000, 0.000], [0.500, 0.500, 0.500], [0.750, 0.750, 0.750], [0.250, 0.250, 0.250]]}



(5)
{"formula": "HPt3Br", "functional": "PBEsol", "state": "optimized geometry", "energy_ev_per_atom": -3.37, "n_ef_per_ev_atom": 1.157, "space_group": "Pm-3m (221)", "lattice": [[-2.107, 3.477, -2.307], [-2.922, -3.074, -1.965], [-2.979, 0.557, 3.559]], "species": ["Br", "Pt", "Pt", "Pt", "H"], "frac_coords": [[0.000, 0.000, 0.000], [0.000, 0.000, 0.500], [0.000, 0.500, 0.000], [0.500, 0.000, 0.000], [0.500, 0.500, 0.500]]}



(6)
{"formula": "HPtBr3", "functional": "PBEsol", "state": "optimized geometry", "energy_ev_per_atom": -2.16, "n_ef_per_ev_atom": 1.430, "space_group": "Pm-3m (221)", "lattice": [[4.445, 0.000, 0.000], [0.000, 4.445, 0.000], [0.000, 0.000, 4.445]], "species": ["Br", "Br", "Br", "Pt", "H"], "frac_coords": [[0.000, 0.000, 0.500], [0.000, 0.500, 0.000], [0.500, 0.000, 0.000], [0.500, 0.500, 0.500], [0.000, 0.000, 0.000]]}



What did the fourth record say?
{"formula": "HPtBr2", "functional": "PBEsol", "state": "optimized geometry", "energy_ev_per_atom": -2.55, "n_ef_per_ev_atom": 1.530, "space_group": "Fm-3m (225)", "lattice": [[-0.008, -3.030, -3.428], [-2.389, -3.883, 0.384], [-3.782, -0.616, -2.500]], "species": ["H", "Pt", "Br", "Br"], "frac_coords": [[0.000, 0.000, 0.000], [0.500, 0.500, 0.500], [0.750, 0.750, 0.750], [0.250, 0.250, 0.250]]}